Entry 1:
Here is an optimized crystal structure of Nb2TlCrAu from Alexandria via LeMat-Bulk. Energies are from PBE.

abc: 5.0896 4.7211 5.0896
angles: 90.00 90.00 90.00
Fractional positions:
Au 0.5000 0.5000 0.5000
Tl 0.0000 0.0000 0.0000
Nb 0.0000 0.0000 0.5000
Cr 0.0000 0.5000 0.0000
Nb 0.5000 0.0000 0.0000

SG ... No. 123
Final energy ... -4.912 eV per atom


Entry 2:
Here is an optimized crystal structure of CrNiAu2 from Alexandria via LeMat-Bulk. Energies are from PBE.

abc: 3.1133 3.5510 5.6100
angles: 90.00 90.00 90.00
Each line ends with the local moment (μB).
Fractional positions:
Au 0.0000 0.0000 0.5049  0.06
Au 0.0000 0.0000 0.9951  0.06
Cr 0.5000 0.5000 0.2500  3.28
Ni 0.5000 0.5000 0.7500  -0.19

SG ... No. 47
Final energy ... -5.335 eV per atom


Entry 3:
Here is an optimized crystal structure of CrNiAu from Alexandria via LeMat-Bulk. Energies are from PBE.

abc: 2.8653 5.4556 10.5197
angles: 90.00 90.00 90.00
Fractional positions:
Ni 0.5000 0.1326 0.5715
Ni 0.5000 0.6326 0.9285
Cr 0.0000 0.3612 0.0534
Cr 0.5000 0.6388 0.5534
Au 0.5000 0.6175 0.2509
Au 0.0000 0.3825 0.7509
Ni 0.0000 0.3674 0.4285
Ni 0.0000 0.8674 0.0715
Cr 0.0000 0.8612 0.4466
Au 0.5000 0.1175 0.2491
Au 0.0000 0.8825 0.7491
Cr 0.5000 0.1388 0.9466

SG ... No. 62
Final energy ... -6.063 eV per atom


Entry 4:
Here is an optimized crystal structure of CrNi2Au from Alexandria via LeMat-Bulk. Energies are from PBE.

abc: 8.7419 8.7419 8.7419
angles: 17.46 17.46 17.46
Fractional positions:
Au 0.2500 0.2500 0.2500
Cr 0.7500 0.7500 0.7500
Ni 0.4920 0.4920 0.4920
Ni 0.0080 0.0080 0.0080

SG ... No. 166
Final energy ... -5.918 eV per atom


Copy entry 1 word for word.
Here is an optimized crystal structure of Nb2TlCrAu from Alexandria via LeMat-Bulk. Energies are from PBE.

abc: 5.0896 4.7211 5.0896
angles: 90.00 90.00 90.00
Fractional positions:
Au 0.5000 0.5000 0.5000
Tl 0.0000 0.0000 0.0000
Nb 0.0000 0.0000 0.5000
Cr 0.0000 0.5000 0.0000
Nb 0.5000 0.0000 0.0000

SG ... No. 123
Final energy ... -4.912 eV per atom